Density functional theory data (PBE with a Hubbard U) for a relaxed structure of Tl2CoO2.

Computed properties:
V   120.73 Å³/f.u.
Uncorrected energy   -4.6211 eV/atom

Lattice parameters (Å, degrees): 6.991 6.531 6.792 76.55 53.68 76.94
Site moments in Bohr magnetons follow the coordinates.
Atoms (fractional coordinates):
1 Tl 0.695 0.263 0.419  0.01
2 O 0.364 0.856 0.188  0.15
3 Tl 0.305 0.737 0.581  0.01
4 Tl 0.997 0.263 0.731  0.01
5 O 0.927 0.654 0.692  0.12
6 Co 0.674 0.834 0.885  2.62
7 O 0.073 0.346 0.308  0.12
8 Tl 0.003 0.737 0.269  0.01
9 O 0.636 0.144 0.812  0.15
10 Co 0.326 0.166 0.115  2.62